# 1
Here is a geometry-optimized Pr2Ga3Ge structure from the Open Quantum Materials Database. Energies are from GGA-PBE.

Unit cell a=8.562 b=8.535 c=6.081 alpha=69.40 beta=68.93 gamma=41.67
Sites, in units of the cell vectors:
Ga (0.164, 0.669, 0.836)
Ga (0.166, 0.166, 0.834)
Ga (0.669, 0.164, 0.331)
Ga (0.836, 0.331, 0.164)
Ga (0.834, 0.834, 0.166)
Ga (0.331, 0.836, 0.669)
Pr (0.746, 0.254, 0.746)
Pr (0.250, 0.250, 0.250)
Pr (0.254, 0.746, 0.254)
Pr (0.750, 0.750, 0.750)
Ge (0.333, 0.333, 0.667)
Ge (0.667, 0.667, 0.333)

Results
calculated volume = 22.765 Å³/atom
total DFT energy (no corrections) = -4.5979 eV per atom
symmetry = Fmmm


# 2
Here is a geometry-optimized PrGaGe structure from the Open Quantum Materials Database. Energies are from GGA-PBE.

Unit cell a=4.254 b=4.254 c=4.425 alpha=90.00 beta=90.00 gamma=120.00
Sites, in units of the cell vectors:
Ge (0.667, 0.333, 0.236)
Pr (0.333, 0.667, 0.672)
Ga (0.000, 0.000, 0.092)

Results
calculated volume = 23.119 Å³/atom
total DFT energy (no corrections) = -4.8580 eV per atom
symmetry = P3m1


# 3
Here is a geometry-optimized Ga3Ge2Pt5 structure from the Open Quantum Materials Database. Energies are from GGA-PBE.

Unit cell a=7.143 b=7.143 c=12.086 alpha=90.00 beta=90.00 gamma=147.21
Sites, in units of the cell vectors:
Pt (0.489, 0.511, 0.130)
Pt (0.511, 0.489, 0.870)
Pt (0.330, 0.670, 0.750)
Pt (0.839, 0.161, 0.112)
Pt (0.670, 0.330, 0.250)
Pt (0.511, 0.489, 0.630)
Pt (0.489, 0.511, 0.370)
Pt (0.161, 0.839, 0.612)
Pt (0.161, 0.839, 0.888)
Pt (0.839, 0.161, 0.388)
Ga (0.331, 0.669, 0.526)
Ga (0.000, 0.000, 0.500)
Ga (0.000, 0.000, 0.000)
Ga (0.331, 0.669, 0.974)
Ga (0.669, 0.331, 0.026)
Ga (0.669, 0.331, 0.474)
Ge (0.699, 0.301, 0.750)
Ge (0.301, 0.699, 0.250)
Ge (0.945, 0.055, 0.750)
Ge (0.055, 0.945, 0.250)

Results
calculated volume = 16.700 Å³/atom
total DFT energy (no corrections) = -5.3144 eV per atom
symmetry = Cmcm


# 4
Here is a geometry-optimized Sc2GaGe3Pt2 structure from the Open Quantum Materials Database. Energies are from GGA-PBE.

Unit cell a=5.570 b=5.570 c=6.558 alpha=93.65 beta=93.65 gamma=44.07
Sites, in units of the cell vectors:
Ge (0.629, 0.629, 0.531)
Ge (0.370, 0.370, 0.468)
Ge (0.629, 0.629, 0.963)
Ga (0.373, 0.373, 0.041)
Sc (0.910, 0.910, 0.748)
Sc (0.089, 0.089, 0.247)
Pt (0.817, 0.817, 0.254)
Pt (0.183, 0.183, 0.749)

Results
calculated volume = 17.649 Å³/atom
total DFT energy (no corrections) = -5.9574 eV per atom
symmetry = Cm


# 5
Here is a geometry-optimized Sc2GaGePt4 structure from the Open Quantum Materials Database. Energies are from GGA-PBE.

Unit cell a=7.242 b=5.553 c=5.553 alpha=37.24 beta=90.00 gamma=90.00
Sites, in units of the cell vectors:
Pt (0.701, 0.128, 0.128)
Pt (0.299, 0.128, 0.128)
Pt (0.203, 0.872, 0.872)
Pt (0.797, 0.872, 0.872)
Sc (0.000, 0.537, 0.537)
Sc (0.500, 0.463, 0.463)
Ge (0.500, 0.742, 0.742)
Ga (0.000, 0.259, 0.259)

Results
calculated volume = 16.896 Å³/atom
total DFT energy (no corrections) = -6.5814 eV per atom
symmetry = Amm2


# 6
Here is a geometry-optimized YSc2Ga3Ge2Pt structure from the Open Quantum Materials Database. Energies are from GGA-PBE.

Unit cell a=4.127 b=6.907 c=6.907 alpha=121.43 beta=90.00 gamma=90.00
Sites, in units of the cell vectors:
Sc (0.000, 0.409, 0.995)
Sc (0.000, 0.995, 0.409)
Y (0.000, 0.581, 0.581)
Ge (0.500, 0.670, 0.324)
Ge (0.500, 0.324, 0.670)
Pt (0.000, 0.012, 0.012)
Ga (0.500, 0.243, 0.243)
Ga (0.500, 0.762, 0.003)
Ga (0.500, 0.003, 0.762)

Results
calculated volume = 18.669 Å³/atom
total DFT energy (no corrections) = -5.6260 eV per atom
symmetry = Amm2